No. 1
The following is a DFT calculation (PBE) of an optimized crystal structure of MnSiGe2.

Structure (POSCAR):
```
MnSiGe2
1.0
2.766 0.000 0.000
0.000 1.997 5.600
0.000 -1.997 5.600
Mn Si Ge
1 1 2
Direct
0.000 0.000 0.000
0.500 0.174 0.174
0.500 0.499 0.499
0.500 0.810 0.810
```

Summary:
ΔE_f (raw)   0.026 eV per atom
Crystal system   orthorhombic
DOS(E_F)   2.479 states/eV/f.u.
SG   Amm2, No. 38
Magnetization   0.0 μB/f.u.

No. 2
The following is a DFT calculation (PBE) of an optimized crystal structure of TlAgTe2.

Structure (POSCAR):
```
TlAgTe2
1.0
2.299 -2.344 0.000
2.299 2.344 0.000
0.000 0.000 10.600
Tl Ag Te
1 1 2
Direct
0.000 0.000 0.000
0.500 0.500 0.215
0.000 0.000 0.405
0.500 0.500 0.745
```

Summary:
ΔE_f (raw)   0.119 eV per atom
Crystal system   orthorhombic
DOS(E_F)   1.988 states/eV/f.u.
SG   Cmm2, No. 35
Magnetization   0.0 μB/f.u.

No. 3
The following is a DFT calculation (PBE) of an optimized crystal structure of SrPmTeO6.

Structure (POSCAR):
```
SrPmTeO6
1.0
5.845 0.000 0.000
-2.922 5.062 0.000
0.000 0.000 9.965
Sr Pm Te O
2 2 2 12
Direct
0.000 0.000 0.000
0.000 0.000 0.500
0.333 0.667 0.250
0.667 0.333 0.750
0.333 0.667 0.750
0.667 0.333 0.250
0.053 0.392 0.641
0.053 0.662 0.859
0.338 0.392 0.859
0.338 0.947 0.641
0.392 0.053 0.141
0.392 0.338 0.359
0.608 0.662 0.641
0.608 0.947 0.859
0.662 0.053 0.359
0.662 0.608 0.141
0.947 0.338 0.141
0.947 0.608 0.359
```

Summary:
ΔE_f (raw)   -2.032 eV per atom
Crystal system   trigonal
DOS(E_F)   6.031 states/eV/f.u.
SG   P-31c, No. 163
Magnetization   1.1 μB/f.u.

No. 4
The following is a DFT calculation (PBE) of an optimized crystal structure of K3Pa3ZnTe8.

Structure (POSCAR):
```
K3Pa3ZnTe8
1.0
4.413 2.548 8.448
-4.413 2.548 8.448
0.000 -5.096 8.448
K Pa Zn Te
3 3 1 8
Direct
0.000 0.500 0.500
0.500 0.000 0.500
0.500 0.500 0.000
0.000 0.000 0.500
0.000 0.500 0.000
0.500 0.000 0.000
0.500 0.500 0.500
0.238 0.238 0.238
0.241 0.729 0.729
0.271 0.271 0.759
0.271 0.759 0.271
0.729 0.241 0.729
0.729 0.729 0.241
0.759 0.271 0.271
0.762 0.762 0.762
```

Summary:
ΔE_f (raw)   -0.821 eV per atom
Crystal system   trigonal
DOS(E_F)   18.855 states/eV/f.u.
SG   R-3m, No. 166
Magnetization   3.7 μB/f.u.

No. 5
The following is a DFT calculation (PBE) of an optimized crystal structure of TaSbMo.

Structure (POSCAR):
```
TaSbMo
1.0
0.000 2.508 6.522
1.744 0.000 6.522
1.744 2.508 0.000
Ta Sb Mo
1 1 1
Direct
0.000 0.000 0.000
0.676 0.676 0.324
0.345 0.345 0.655
```

Summary:
ΔE_f (raw)   0.287 eV per atom
Crystal system   orthorhombic
DOS(E_F)   1.958 states/eV/f.u.
SG   Fmm2, No. 42
Magnetization   0.0 μB/f.u.

No. 6
The following is a DFT calculation (PBE) of an optimized crystal structure of CeScIr.

Structure (POSCAR):
```
CeScIr
1.0
6.624 0.000 0.000
0.000 5.894 0.000
-6.314 0.000 7.860
Ce Sc Ir
4 4 4
Direct
0.178 0.138 0.386
0.178 0.362 0.886
0.822 0.638 0.114
0.822 0.862 0.614
0.344 0.611 0.638
0.344 0.889 0.138
0.656 0.111 0.862
0.656 0.389 0.362
0.336 0.680 0.368
0.336 0.820 0.868
0.664 0.180 0.132
0.664 0.320 0.632
```

Summary:
Crystal system   monoclinic
DOS(E_F)   6.024 states/eV/f.u.
SG   P2_1/c, No. 14
Magnetization   0.5 μB/f.u.
ΔE_f   -0.5487 eV/atom